## TbNdTlCu (PBE-GGA)

Data for TbNdTlCu after structural relaxation.

- DOS(E_F) (states/eV/atom) = 0.973
- VASP energy (Ry/atom) = -0.3076
- theoretical density (Mg/m³) = 9.12

a b c (Å): 5.278 5.278 5.278
angles (deg): 60.00 60.00 60.00
Each line ends with the local moment (μB).
Fractional positions:
Nd1 0.000 0.000 0.000  0.06
Tl1 0.250 0.250 0.250  0.00
Tb1 0.500 0.500 0.500  0.08
Cu1 0.750 0.750 0.750  0.01